SrAsSe2 | PBE | optimized geometry

Values from the calculation:
DFT total energy	-3.94	eV/atom
formation energy (no corrections)	-0.61	eV per atom

Structure (extended XYZ):
```
4
Lattice="-5.7604 1.9178 1.7426 -5.1780 -0.7555 -3.5375 4.9786 -3.2191 2.1789" Properties=species:S:1:pos:R:3 pbc="T T T"
Se 0.0000 0.0000 0.0000
Se -2.8343 -1.6967 -1.1280
Sr -5.4692 0.5812 -0.8975
As -3.1255 -0.3600 1.5120
```

Sr2AsSe | PBE | optimized geometry

Values from the calculation:
E above lowest polymorph	94.3	meV per atom
DFT total energy	-4.19	eV/atom
formation energy (no corrections)	-1.32	eV per atom

Structure (extended XYZ):
```
4
Lattice="-1.3243 -1.8371 -3.0053 -1.8055 -2.3706 2.2447 -8.1922 2.4033 2.1407" Properties=species:S:1:pos:R:3 pbc="T T T"
Sr -8.1225 2.3513 2.1418
Sr -5.0685 0.0684 2.1916
Se -8.1604 -0.8940 1.7864
As -3.1615 -0.9104 -0.4063
```